The following is a DFT calculation (PBE) of a relaxed Rb4Pr3PuTe8 crystal.

Lattice parameters (Å, degrees): 9.341 10.115 9.341 117.51 120.00 90.00
Sites, in units of the cell vectors:
Te 0.739 0.704 0.971
Rb 0.000 0.000 0.000
Rb 0.000 0.000 0.500
Rb 0.500 0.000 0.000
Rb 0.500 0.000 0.500
Pr 0.500 0.500 0.000
Te 0.233 0.704 0.971
Te 0.767 0.296 0.535
Te 0.233 0.704 0.465
Pu 0.000 0.500 0.000
Pr 0.000 0.500 0.500
Te 0.736 0.707 0.472
Te 0.264 0.293 0.528
Pr 0.500 0.500 0.500
Te 0.767 0.296 0.029
Te 0.261 0.296 0.029

Summary:
- magnetization (Bohr magnetons per cell) = 5.00
- DOS(E_F) (states/eV/cell) = 14.2
- formation energy from raw total energies (kJ/mol of atoms) = -127.96
- SG = R-3m